Entry 1:
The following is a DFT calculation (PBE) of an optimized crystal structure of ZrNbW.

a = 4.522 Å, b = 4.522 Å, c = 4.522 Å
α = 60.00°, β = 60.00°, γ = 60.00°
Element x y z (fractional)
Zr: 0.000 0.000 0.000
Nb: 0.500 0.500 0.500
W: 0.750 0.750 0.750

Properties
The formation energy from the elements comes out at 1.8 eV/f.u. Its total magnetization is 0.0 μB per cell. The space group is F-43m, No. 216. For the mass density, the calculation gives 9.35 Mg/m³. The value obtained for the distance to the lowest polymorph of the same formula is 0 meV/atom.


Entry 2:
The following is a DFT calculation (PBE) of an optimized crystal structure of Ba3H12Pd2.

a = 5.384 Å, b = 5.384 Å, c = 8.800 Å
α = 90.00°, β = 90.00°, γ = 120.00°
Element x y z (fractional)
Ba: 0.000 0.000 0.000
Ba: 0.333 0.667 0.634
Ba: 0.667 0.333 0.366
H: 0.039 0.519 0.120
H: 0.181 0.362 0.341
H: 0.181 0.819 0.341
H: 0.362 0.181 0.659
H: 0.481 0.519 0.120
H: 0.481 0.961 0.120
H: 0.519 0.039 0.880
H: 0.519 0.481 0.880
H: 0.638 0.819 0.341
H: 0.819 0.181 0.659
H: 0.819 0.638 0.659
H: 0.961 0.481 0.880
Pd: 0.333 0.667 0.232
Pd: 0.667 0.333 0.768

Properties
The calculation puts the total energy at -61.93 eV/f.u. The space group is P-3m1, No. 164. For the mass density, the calculation gives 4.79 Mg/m³.


Entry 3:
The following is a DFT calculation (PBE) of an optimized crystal structure of Sm2Ho2CI3Br2.

a = 9.515 Å, b = 9.515 Å, c = 8.513 Å
α = 102.56°, β = 102.56°, γ = 23.81°
Element x y z (fractional)
Sm: 0.137 0.137 0.072
Sm: 0.863 0.863 0.928
Ho: 0.500 0.500 0.190
Ho: 0.500 0.500 0.810
C: 0.000 0.000 0.000
I: 0.000 0.000 0.500
I: 0.331 0.331 0.192
I: 0.669 0.669 0.808
Br: 0.344 0.344 0.666
Br: 0.656 0.656 0.334

Properties
Its total magnetization is 0.1 μB per cell. The space group is C2/m, No. 12. For the mass density, the calculation gives 6.48 Mg/m³. The value obtained for the distance to the lowest polymorph of the same formula is 2 meV/atom.